First-principles (SCAN) data for a crystal of KZn2In relaxed with PBEsol, as listed in the Alexandria database.

Unit cell a=3.9735 b=4.9117 c=4.9117 alpha=90.00 beta=90.00 gamma=90.00
Last column: nearest neighbours and their distance in Å.
Fractional coordinates of all 4 atoms:
Zn1 0.0000 0.0000 0.5000  4 In 3.16, 4 K 3.16, 4 Zn 3.47
Zn2 0.0000 0.5000 0.0000  4 In 3.16, 4 K 3.16, 4 Zn 3.47
K1 0.5000 0.0000 0.0000  8 Zn 3.16, 4 In 3.47
In1 0.5000 0.5000 0.5000  8 Zn 3.16, 4 K 3.47

=====

First-principles (SCAN) data for a crystal of K2ZnIn relaxed with PBEsol, as listed in the Alexandria database.

Unit cell a=3.3679 b=5.9541 c=7.0587 alpha=96.49 beta=90.00 gamma=106.43
Last column: nearest neighbours and their distance in Å.
Fractional coordinates of all 4 atoms:
K1 0.2546 0.5091 0.2547  2 K 3.37, 3 In 3.50-3.65, 3 Zn 3.54-3.56
K2 0.7454 0.4909 0.7453  2 K 3.37, 3 In 3.50-3.65, 3 Zn 3.54-3.56
In1 0.5000 0.0000 0.0000  2 In 3.37, 6 K 3.50-3.65
Zn1 0.0000 0.0000 0.5000  2 Zn 3.37, 6 K 3.54-3.56

=====

First-principles (SCAN) data for a crystal of K2ZnIn relaxed with PBEsol, as listed in the Alexandria database.

Unit cell a=4.6822 b=4.6925 c=8.8850 alpha=104.89 beta=90.00 gamma=119.93
Last column: nearest neighbours and their distance in Å.
Fractional coordinates of all 4 atoms:
K1 0.2139 0.4277 0.6494  3 In 3.57, 3 Zn 3.57-3.58
K2 0.0358 0.0717 0.1006  3 Zn 3.57-3.58, 3 In 3.57
Zn1 0.4586 0.9173 0.3749  3 In 2.71
In1 0.7917 0.5834 0.3752  3 Zn 2.71

=====

First-principles (SCAN) data for a crystal of K2ZrIn relaxed with PBEsol, as listed in the Alexandria database.

Unit cell a=3.9470 b=3.9470 c=10.3401 alpha=90.00 beta=90.00 gamma=90.00
Last column: nearest neighbours and their distance in Å.
Fractional coordinates of all 4 atoms:
Zr1 0.0000 0.0000 0.5920  4 In 2.90
K1 0.0000 0.0000 0.9293  1 Zr 3.49, 4 In 3.89
K2 0.5000 0.5000 0.3121  1 In 3.67, 4 K 3.95, 4 Zr 4.02
In1 0.5000 0.5000 0.6666  4 Zr 2.90

=====

First-principles (SCAN) data for a crystal of K2ZrIn relaxed with PBEsol, as listed in the Alexandria database.

Unit cell a=3.2900 b=3.2900 c=13.1686 alpha=82.82 beta=82.82 gamma=60.00
Last column: nearest neighbours and their distance in Å.
Fractional coordinates of all 4 atoms:
In1 0.0000 0.0000 0.0000  6 In 3.29, 6 K 3.68
K1 0.7473 0.7473 0.7581  6 K 3.29, 3 In 3.68
K2 0.2527 0.2527 0.2419  6 K 3.29, 3 In 3.68
Zr1 0.5000 0.5000 0.5000  6 Zr 3.29

=====

First-principles (SCAN) data for a crystal of KZr2In2 relaxed with PBEsol, as listed in the Alexandria database.

Unit cell a=5.3549 b=5.3549 c=6.5043 alpha=114.31 beta=114.31 gamma=90.00
Last column: nearest neighbours and their distance in Å.
Fractional coordinates of all 5 atoms:
K1 0.0000 0.0000 0.0000  2 Zr 3.64, 8 In 3.76
In1 0.7500 0.2500 0.5000  4 Zr 2.86
In2 0.2500 0.7500 0.5000  4 Zr 2.86
Zr1 0.3443 0.3443 0.6886  4 In 2.86
Zr2 0.6557 0.6557 0.3114  4 In 2.86

=====

First-principles (SCAN) data for a crystal of K2ZrIn relaxed with PBEsol, as listed in the Alexandria database.

Unit cell a=4.3990 b=4.3990 c=6.1585 alpha=90.00 beta=90.00 gamma=90.00
Last column: nearest neighbours and their distance in Å.
Fractional coordinates of all 4 atoms:
K1 0.0000 0.5000 0.0000  4 K 3.11
K2 0.5000 0.0000 0.0000  4 K 3.11
Zr1 0.5000 0.5000 0.5000  4 In 3.11
In1 0.0000 0.0000 0.5000  4 Zr 3.11

=====

First-principles (SCAN) data for a crystal of KZr2In relaxed with PBEsol, as listed in the Alexandria database.

Unit cell a=3.1121 b=3.1121 c=10.8507 alpha=90.00 beta=90.00 gamma=90.15
Last column: nearest neighbours and their distance in Å.
Fractional coordinates of all 4 atoms:
Zr1 0.0000 0.0000 0.9491  8 Zr 3.08-3.11
Zr2 0.5000 0.5000 0.7508  8 Zr 3.08-3.11, 4 In 3.24-3.25
In1 0.0000 0.0000 0.5311  4 In 3.11, 4 Zr 3.24-3.25
K1 0.5000 0.5000 0.2690  4 K 3.11

=====

First-principles (SCAN) data for a crystal of K2ZrIn relaxed with PBEsol, as listed in the Alexandria database.

Unit cell a=3.1242 b=3.1242 c=12.7505 alpha=90.00 beta=90.00 gamma=90.00
Last column: nearest neighbours and their distance in Å.
Fractional coordinates of all 4 atoms:
K1 0.0000 0.0000 0.7355  4 K 3.12
K2 0.0000 0.0000 0.2645  4 K 3.12
In1 0.5000 0.5000 0.5000  4 In 3.12
Zr1 0.5000 0.5000 0.0000  4 Zr 3.12

=====

First-principles (SCAN) data for a crystal of LaIn2 relaxed with PBEsol, as listed in the Alexandria database.

Unit cell a=4.9235 b=6.8631 c=9.6027 alpha=90.00 beta=90.00 gamma=90.00
Last column: nearest neighbours and their distance in Å.
Fractional coordinates of all 12 atoms:
In1 0.2500 0.0550 0.7685  3 In 3.08-3.16, 2 La 3.36
In2 0.7500 0.9450 0.2315  3 In 3.08-3.16, 2 La 3.36
In3 0.2500 0.6448 0.4177  3 In 3.08-3.16, 4 La 3.19-3.34
In4 0.7500 0.8552 0.9177  3 In 3.08-3.16, 4 La 3.19-3.34
In5 0.2500 0.1448 0.0823  3 In 3.08-3.16, 4 La 3.19-3.34
In6 0.7500 0.4450 0.2685  3 In 3.08-3.16, 2 La 3.36
In7 0.2500 0.5550 0.7315  3 In 3.08-3.16, 2 La 3.36
In8 0.7500 0.3552 0.5823  3 In 3.08-3.16, 4 La 3.19-3.34
La1 0.2500 0.6579 0.0860  10 In 3.19-3.52
La2 0.2500 0.1579 0.4140  10 In 3.19-3.52
La3 0.7500 0.8421 0.5860  10 In 3.19-3.52
La4 0.7500 0.3421 0.9140  10 In 3.19-3.52

=====

First-principles (SCAN) data for a crystal of LaIn2 relaxed with PBEsol, as listed in the Alexandria database.

Unit cell a=5.3513 b=5.3513 c=6.6089 alpha=90.00 beta=90.00 gamma=120.00
Last column: nearest neighbours and their distance in Å.
Fractional coordinates of all 6 atoms:
La1 0.3333 0.6667 0.7500  5 In 3.09-3.30
La2 0.6667 0.3333 0.2500  5 In 3.09-3.30
In1 0.6667 0.3333 0.7500  5 La 3.09-3.30
In2 0.0000 0.0000 0.5000  8 In 3.30-3.50, 6 La 3.50
In3 0.0000 0.0000 0.0000  8 In 3.30-3.50, 6 La 3.50
In4 0.3333 0.6667 0.2500  5 La 3.09-3.30

=====

First-principles (SCAN) data for a crystal of La2In relaxed with PBEsol, as listed in the Alexandria database.

Unit cell a=3.7436 b=5.2130 c=5.2130 alpha=120.00 beta=90.00 gamma=90.00
Last column: nearest neighbours and their distance in Å.
Fractional coordinates of all 3 atoms:
La1 0.6711 0.3333 0.6667  3 In 3.25, 3 La 3.27
La2 0.3289 0.6667 0.3333  3 In 3.25, 3 La 3.27
In1 0.0000 0.0000 0.0000  6 La 3.25

=====

How do the records compare in Fermi-level density of states? In the order shown, they have 1.744, 2.474, 2.964, 2.968, 4.223, 3.219, 1.984, 2.303, 3.828, 3.927, 2.302, 1.758 states/eV per cell.
How do the records compare in ΔH_f (0 K)? In the order shown, they have 0.267, 0.247, -0.074, 0.215, 0.529, 0.333, 0.415, 0.075, 0.561, -0.589, -0.557, -0.438 eV per atom.
How do the records compare in total DFT energy (no corrections)? In the order shown, they have -16.92, -15.64, -15.96, -19.97, -19.66, -26.97, -19.77, -25.70, -19.63, -37.21, -37.18, -40.30 eV/atom.